VASP calculation (GGA+U) on an optimized crystal structure of Sr2TaCoO6.

Output
size of the total moment = 4.00 Bohr magnetons per cell
E_tot = -74.62 eV/cell
theoretical density = 6670 kg/m³
energy above the lowest structure with this stoichiometry = 54 meV/atom

Cell: 5.646 5.646 5.646 Å, 60.00 60.00 60.00°
Fractional coordinates of all 10 atoms:
Sr1 0.250 0.250 0.250
Sr2 0.750 0.750 0.750
Ta1 0.000 0.000 0.000
Co1 0.500 0.500 0.500
O1 0.249 0.249 0.751
O2 0.249 0.751 0.249
O3 0.249 0.751 0.751
O4 0.751 0.249 0.249
O5 0.751 0.249 0.751
O6 0.751 0.751 0.249